The following is a PBE calculation of a relaxed InAsN3 crystal, from Alexandria. Values from VASP.

The structure in Quantum ESPRESSO input format:
```
&SYSTEM
  ibrav = 0, nat = 5, ntyp = 3
/
ATOMIC_SPECIES
In 114.82 In.upf
As 74.92 As.upf
N 14.01 N.upf
CELL_PARAMETERS angstrom
3.8041 0.0000 0.0000
0.0000 3.8041 0.0000
0.0000 0.0000 3.8041
ATOMIC_POSITIONS crystal
In 0.0000 0.0000 0.0000
As 0.5000 0.5000 0.5000
N 0.0000 0.5000 0.5000
N 0.5000 0.0000 0.5000
N 0.5000 0.5000 0.0000
```

## Properties
Magnetic moment = 0.00 μB/cell
Fermi-level density of states = 0.472 states/eV/atom

***

The following is a PBE calculation of a relaxed InAsN2 crystal, from Alexandria. Values from VASP.

The structure in Quantum ESPRESSO input format:
```
&SYSTEM
  ibrav = 0, nat = 4, ntyp = 3
/
ATOMIC_SPECIES
In 114.82 In.upf
As 74.92 As.upf
N 14.01 N.upf
CELL_PARAMETERS angstrom
1.7070 0.9855 5.9619
-1.7070 0.9855 5.9619
0.0000 -1.9711 5.9619
ATOMIC_POSITIONS crystal
In 0.0000 0.0000 0.0000
As 0.5000 0.5000 0.5000
N 0.3972 0.3972 0.3972
N 0.6028 0.6028 0.6028
```

## Properties
Offset from the most stable computed form = 184 meV/atom
Magnetic moment = 0.00 μB/cell
Fermi-level density of states = 0.258 states/eV/atom

***

The following is a PBE calculation of a relaxed In3AsN crystal, from Alexandria. Values from VASP.

The structure in Quantum ESPRESSO input format:
```
&SYSTEM
  ibrav = 0, nat = 5, ntyp = 3
/
ATOMIC_SPECIES
In 114.82 In.upf
As 74.92 As.upf
N 14.01 N.upf
CELL_PARAMETERS angstrom
5.3576 0.0000 0.0000
0.0000 5.3576 0.0000
0.0000 0.0000 5.3576
ATOMIC_POSITIONS crystal
In 0.0000 0.0000 0.5000
In 0.0000 0.5000 0.0000
In 0.5000 0.0000 0.0000
As 0.0000 0.0000 0.0000
N 0.5000 0.5000 0.5000
```

## Properties
Offset from the most stable computed form = 954 meV/atom
Magnetic moment = 0.00 μB/cell
Fermi-level density of states = 1.004 states/eV/atom

***

The following is a PBE calculation of a relaxed InAsN2 crystal, from Alexandria. Values from VASP.

The structure in Quantum ESPRESSO input format:
```
&SYSTEM
  ibrav = 0, nat = 8, ntyp = 3
/
ATOMIC_SPECIES
In 114.82 In.upf
As 74.92 As.upf
N 14.01 N.upf
CELL_PARAMETERS angstrom
-2.4391 2.4391 5.2911
2.4391 -2.4391 5.2911
2.4391 2.4391 -5.2911
ATOMIC_POSITIONS crystal
In 0.0000 0.0000 0.0000
In 0.7500 0.2500 0.5000
As 0.2500 0.7500 0.5000
As 0.5000 0.5000 0.0000
N 0.1408 0.6250 0.0158
N 0.3750 0.3908 0.5158
N 0.6092 0.1250 0.9842
N 0.8750 0.8592 0.4842
```

## Properties
Offset from the most stable computed form = 119 meV/atom
Magnetic moment = 0.00 μB/cell
Fermi-level density of states = 0.220 states/eV/atom

***

The following is a PBE calculation of a relaxed InAsN2 crystal, from Alexandria. Values from VASP.

The structure in Quantum ESPRESSO input format:
```
&SYSTEM
  ibrav = 0, nat = 4, ntyp = 3
/
ATOMIC_SPECIES
In 114.82 In.upf
As 74.92 As.upf
N 14.01 N.upf
CELL_PARAMETERS angstrom
0.0000 2.9228 2.9228
2.9228 0.0000 2.9228
2.9228 2.9228 0.0000
ATOMIC_POSITIONS crystal
In 0.0000 0.0000 0.0000
As 0.5000 0.5000 0.5000
N 0.2500 0.2500 0.2500
N 0.7500 0.7500 0.7500
```

## Properties
Offset from the most stable computed form = 867 meV/atom
Magnetic moment = 0.00 μB/cell
Fermi-level density of states = 0.445 states/eV/atom

***

The following is a PBE calculation of a relaxed InAs2N crystal, from Alexandria. Values from VASP.

The structure in Quantum ESPRESSO input format:
```
&SYSTEM
  ibrav = 0, nat = 4, ntyp = 3
/
ATOMIC_SPECIES
In 114.82 In.upf
As 74.92 As.upf
N 14.01 N.upf
CELL_PARAMETERS angstrom
0.0000 3.2785 3.2785
3.2785 0.0000 3.2785
3.2785 3.2785 0.0000
ATOMIC_POSITIONS crystal
In 0.0000 0.0000 0.0000
As 0.2500 0.2500 0.2500
As 0.7500 0.7500 0.7500
N 0.5000 0.5000 0.5000
```

## Properties
Offset from the most stable computed form = 662 meV/atom
Magnetic moment = 1.10 μB/cell
Fermi-level density of states = 0.526 states/eV/atom

***

The following is a PBE calculation of a relaxed InAsN3 crystal, from Alexandria. Values from VASP.

The structure in Quantum ESPRESSO input format:
```
&SYSTEM
  ibrav = 0, nat = 5, ntyp = 3
/
ATOMIC_SPECIES
In 114.82 In.upf
As 74.92 As.upf
N 14.01 N.upf
CELL_PARAMETERS angstrom
4.2264 0.0000 0.0000
0.0000 4.2264 0.0000
0.0000 0.0000 4.2264
ATOMIC_POSITIONS crystal
In 0.0000 0.0000 0.0000
As 0.5000 0.5000 0.5000
N 0.0000 0.0000 0.5000
N 0.0000 0.5000 0.0000
N 0.5000 0.0000 0.0000
```

## Properties
Magnetic moment = 2.86 μB/cell
Fermi-level density of states = 0.630 states/eV/atom

***

The following is a PBE calculation of a relaxed In3AsN crystal, from Alexandria. Values from VASP.

The structure in Quantum ESPRESSO input format:
```
&SYSTEM
  ibrav = 0, nat = 5, ntyp = 3
/
ATOMIC_SPECIES
In 114.82 In.upf
As 74.92 As.upf
N 14.01 N.upf
CELL_PARAMETERS angstrom
4.7530 0.0000 0.0000
0.0000 4.7530 0.0000
0.0000 0.0000 4.7530
ATOMIC_POSITIONS crystal
In 0.0000 0.0000 0.5000
In 0.0000 0.5000 0.0000
In 0.5000 0.0000 0.0000
As 0.5000 0.5000 0.5000
N 0.0000 0.0000 0.0000
```

## Properties
Offset from the most stable computed form = 0 meV/atom
Magnetic moment = 0.00 μB/cell
Fermi-level density of states = 0.636 states/eV/atom

***

The following is a PBE calculation of a relaxed InAs3N crystal, from Alexandria. Values from VASP.

The structure in Quantum ESPRESSO input format:
```
&SYSTEM
  ibrav = 0, nat = 5, ntyp = 3
/
ATOMIC_SPECIES
In 114.82 In.upf
As 74.92 As.upf
N 14.01 N.upf
CELL_PARAMETERS angstrom
5.1896 0.0000 0.0000
0.0000 5.1896 0.0000
0.0000 0.0000 5.1896
ATOMIC_POSITIONS crystal
In 0.0000 0.0000 0.0000
As 0.0000 0.0000 0.5000
As 0.0000 0.5000 0.0000
As 0.5000 0.0000 0.0000
N 0.5000 0.5000 0.5000
```

## Properties
Magnetic moment = 0.00 μB/cell
Fermi-level density of states = 2.259 states/eV/atom

***

The following is a PBE calculation of a relaxed InAsN2 crystal, from Alexandria. Values from VASP.

The structure in Quantum ESPRESSO input format:
```
&SYSTEM
  ibrav = 0, nat = 4, ntyp = 3
/
ATOMIC_SPECIES
In 114.82 In.upf
As 74.92 As.upf
N 14.01 N.upf
CELL_PARAMETERS angstrom
1.4924 0.8616 6.7619
-1.4924 0.8616 6.7619
0.0000 -1.7232 6.7619
ATOMIC_POSITIONS crystal
In 0.0000 0.0000 0.0000
As 0.5000 0.5000 0.5000
N 0.1163 0.1163 0.1163
N 0.8837 0.8837 0.8837
```

## Properties
Offset from the most stable computed form = 0 meV/atom
Magnetic moment = 0.00 μB/cell
Fermi-level density of states = 0.000 states/eV/atom

***

The following is a PBE calculation of a relaxed NaInAsN2 crystal, from Alexandria. Values from VASP.

The structure in Quantum ESPRESSO input format:
```
&SYSTEM
  ibrav = 0, nat = 5, ntyp = 4
/
ATOMIC_SPECIES
Na 22.99 Na.upf
In 114.82 In.upf
As 74.92 As.upf
N 14.01 N.upf
CELL_PARAMETERS angstrom
4.3729 0.0000 0.0000
0.0000 4.3729 0.0000
0.0000 0.0000 5.4981
ATOMIC_POSITIONS crystal
Na 0.0000 0.0000 0.0000
In 0.5000 0.5000 0.5000
As 0.0000 0.0000 0.5000
N 0.0000 0.5000 0.0000
N 0.5000 0.0000 0.0000
```

## Properties
Magnetic moment = 4.45 μB/cell
Fermi-level density of states = 0.546 states/eV/atom

***

The following is a PBE calculation of a relaxed Pa2InAs2N2 crystal, from Alexandria. Values from VASP.

The structure in Quantum ESPRESSO input format:
```
&SYSTEM
  ibrav = 0, nat = 7, ntyp = 4
/
ATOMIC_SPECIES
Pa 231.04 Pa.upf
In 114.82 In.upf
As 74.92 As.upf
N 14.01 N.upf
CELL_PARAMETERS angstrom
5.8417 -1.9360 0.0000
5.8417 1.9360 0.0000
-3.6272 0.0000 6.0036
ATOMIC_POSITIONS crystal
Pa 0.1828 0.1828 0.2464
Pa 0.8172 0.8172 0.7536
In 0.0000 0.0000 0.5000
As 0.4377 0.4377 0.1652
As 0.5623 0.5623 0.8348
N 0.2215 0.2215 0.6000
N 0.7785 0.7785 0.4000
```

## Properties
Magnetic moment = 0.93 μB/cell
Fermi-level density of states = 0.633 states/eV/atom

***

What are the energy relative to the elements, uncorrected values for these records? In order: 1.32 0.69 1.38 0.63 1.37 1.27 2.17 0.42 2.20 0.51 1.84 -0.96 eV per atom.